{
  "formula": "CsCdGaSi2",
  "functional": "PBE",
  "state": "relaxed",
  "lattice": [[5.0619, 0.0000, 0.0000], [0.0000, 5.0619, 0.0000], [0.0000, 0.0000, 5.7446]],
  "species": ["Cs", "Cd", "Ga", "Si", "Si"],
  "frac_coords": [[0.0000, 0.0000, 0.0000], [0.5000, 0.5000, 0.0000], [0.5000, 0.5000, 0.5000], [0.0000, 0.5000, 0.5000], [0.5000, 0.0000, 0.5000]],
  "energy_ev_per_atom": -2.557,
  "e_form_raw_ev_per_fu": 2.9,
  "sg": "P4/mmm (123)"
}

***

{
  "formula": "CsCdGa2Sn8",
  "functional": "PBE",
  "state": "relaxed",
  "lattice": [[3.2340, 1.8672, 9.9938], [-3.2340, 1.8672, 9.9938], [0.0000, -3.7344, 9.9938]],
  "species": ["Cs", "Cd", "Ga", "Ga", "Sn", "Sn", "Sn", "Sn", "Sn", "Sn", "Sn", "Sn"],
  "frac_coords": [[0.0000, 0.0000, 0.0000], [0.5000, 0.5000, 0.5000], [0.2872, 0.2872, 0.2872], [0.7128, 0.7128, 0.7128], [0.0210, 0.4337, 0.8966], [0.1034, 0.9790, 0.5664], [0.4002, 0.4002, 0.4002], [0.4336, 0.8966, 0.0210], [0.5664, 0.1034, 0.9790], [0.5998, 0.5998, 0.5998], [0.8966, 0.0210, 0.4336], [0.9790, 0.5664, 0.1034]],
  "energy_ev_per_atom": -3.280,
  "sg": "R-3 (148)",
  "e_form_mev_per_atom": 40
}

***

{
  "formula": "CsCdGaSn2",
  "functional": "PBE",
  "state": "relaxed",
  "lattice": [[-2.5773, 2.5773, 5.9066], [2.5773, -2.5773, 5.9066], [2.5773, 2.5773, -5.9066]],
  "species": ["Cs", "Cd", "Ga", "Sn", "Sn"],
  "frac_coords": [[0.0000, 0.0000, 0.0000], [0.7500, 0.2500, 0.5000], [0.2500, 0.7500, 0.5000], [0.3744, 0.3744, 0.0000], [0.6256, 0.6256, 0.0000]],
  "energy_ev_per_atom": -2.697,
  "sg": "I-4m2 (119)",
  "e_form_mev_per_atom": -137
}

***

{
  "formula": "CsTaCd2Ga",
  "functional": "PBE",
  "state": "relaxed",
  "lattice": [[6.2512, 0.0000, 0.0000], [0.0000, 6.2512, 0.0000], [0.0000, 0.0000, 6.0615]],
  "species": ["Cs", "Ta", "Cd", "Cd", "Ga"],
  "frac_coords": [[0.0000, 0.0000, 0.0000], [0.5000, 0.5000, 0.5000], [0.0000, 0.5000, 0.0000], [0.5000, 0.0000, 0.0000], [0.0000, 0.0000, 0.5000]],
  "energy_ev_per_atom": -1.449,
  "sg": "P4/mmm (123)",
  "e_form_mev_per_atom": 2064
}

***

{
  "formula": "CsTlCd2Ga",
  "functional": "PBE",
  "state": "relaxed",
  "lattice": [[5.5125, 0.0000, 0.0000], [0.0000, 5.5125, 0.0000], [0.0000, 0.0000, 5.8781]],
  "species": ["Cs", "Tl", "Cd", "Cd", "Ga"],
  "frac_coords": [[0.0000, 0.0000, 0.0000], [0.5000, 0.5000, 0.0000], [0.0000, 0.5000, 0.5000], [0.5000, 0.0000, 0.5000], [0.5000, 0.5000, 0.5000]],
  "energy_ev_per_atom": -1.555,
  "sg": "P4/mmm (123)",
  "e_form_mev_per_atom": 60
}

***

{
  "formula": "CsZr2CdGa",
  "functional": "PBE",
  "state": "relaxed",
  "lattice": [[5.3491, 0.0000, 0.0000], [0.0000, 5.3491, 0.0000], [0.0000, 0.0000, 5.3302]],
  "species": ["Cs", "Zr", "Zr", "Cd", "Ga"],
  "frac_coords": [[0.0000, 0.0000, 0.0000], [0.0000, 0.5000, 0.5000], [0.5000, 0.0000, 0.5000], [0.5000, 0.5000, 0.0000], [0.5000, 0.5000, 0.5000]],
  "energy_ev_per_atom": -3.592,
  "sg": "P4/mmm (123)",
  "e_form_mev_per_atom": 786
}

***

{
  "formula": "CsGdCdTe3",
  "functional": "PBE",
  "state": "relaxed",
  "lattice": [[2.2920, -8.6421, 0.0000], [2.2920, 8.6421, 0.0000], [0.0000, 0.0000, 11.9571]],
  "species": ["Cs", "Cs", "Gd", "Gd", "Cd", "Cd", "Te", "Te", "Te", "Te", "Te", "Te"],
  "frac_coords": [[0.2491, 0.7509, 0.7500], [0.7509, 0.2491, 0.2500], [0.0000, 0.0000, 0.0000], [0.0000, 0.0000, 0.5000], [0.4634, 0.5366, 0.2500], [0.5366, 0.4634, 0.7500], [0.0657, 0.9343, 0.2500], [0.3787, 0.6213, 0.0480], [0.3787, 0.6213, 0.4520], [0.6213, 0.3787, 0.5480], [0.6213, 0.3787, 0.9520], [0.9343, 0.0657, 0.7500]],
  "energy_ev_per_atom": -5.326,
  "e_form_raw_ev_per_fu": -6.7,
  "sg": "Cmcm (63)"
}

***

{
  "formula": "CsCd2Ge2",
  "functional": "PBE",
  "state": "relaxed",
  "lattice": [[-2.4686, 2.4686, 5.6754], [2.4686, -2.4686, 5.6754], [2.4686, 2.4686, -5.6754]],
  "species": ["Cs", "Cd", "Cd", "Ge", "Ge"],
  "frac_coords": [[0.0000, 0.0000, 0.0000], [0.2500, 0.7500, 0.5000], [0.7500, 0.2500, 0.5000], [0.3850, 0.3850, 0.0000], [0.6150, 0.6150, 0.0000]],
  "energy_ev_per_atom": -2.416,
  "sg": "I4/mmm (139)",
  "e_above_lowest_polymorph_mev_per_atom": 0,
  "e_form_mev_per_atom": -32
}

***

{
  "formula": "Cs2Cd2Ge",
  "functional": "PBE",
  "state": "relaxed",
  "lattice": [[7.6982, 0.0000, 0.0000], [0.0000, 7.6982, 0.0000], [0.0000, 0.0000, 6.2480]],
  "species": ["Cs", "Cs", "Cs", "Cs", "Cd", "Cd", "Cd", "Cd", "Ge", "Ge"],
  "frac_coords": [[0.1780, 0.3220, 0.0000], [0.3220, 0.8220, 0.0000], [0.6780, 0.1780, 0.0000], [0.8220, 0.6780, 0.0000], [0.1452, 0.6452, 0.5000], [0.3548, 0.1452, 0.5000], [0.6452, 0.8548, 0.5000], [0.8548, 0.3548, 0.5000], [0.0000, 0.0000, 0.5000], [0.5000, 0.5000, 0.5000]],
  "energy_ev_per_atom": -1.567,
  "sg": "P4/mbm (127)",
  "e_above_lowest_polymorph_mev_per_atom": 111,
  "e_form_mev_per_atom": 64
}

***

{
  "formula": "CsCd3Ge",
  "functional": "PBE",
  "state": "relaxed",
  "lattice": [[6.2963, 0.0000, 0.0000], [0.0017, 7.0048, 0.0000], [0.7675, 0.0073, 7.8675]],
  "species": ["Cs", "Cs", "Cd", "Cd", "Cd", "Cd", "Cd", "Cd", "Ge", "Ge"],
  "frac_coords": [[0.0000, 0.0000, 0.0000], [0.3819, 0.4998, 0.7679], [0.2500, 0.0000, 0.5298], [0.4732, 0.2080, 0.2365], [0.4730, 0.7918, 0.2368], [0.7823, 0.5000, 0.1506], [0.8744, 0.2516, 0.4753], [0.8748, 0.7481, 0.4750], [0.1546, 0.4997, 0.2918], [0.6342, 0.9994, 0.6613]],
  "energy_ev_per_atom": -1.630,
  "sg": "P1 (1)",
  "e_above_lowest_polymorph_mev_per_atom": 42,
  "e_form_mev_per_atom": 13
}

***

{
  "formula": "CsCd2Ge2",
  "functional": "PBE",
  "state": "relaxed",
  "lattice": [[9.1371, 0.0000, 0.0000], [0.0000, 9.1371, 0.0000], [0.0000, 0.0000, 3.2166]],
  "species": ["Cs", "Cs", "Cd", "Cd", "Cd", "Cd", "Ge", "Ge", "Ge", "Ge"],
  "frac_coords": [[0.0000, 0.0000, 0.0000], [0.5000, 0.5000, 0.0000], [0.1255, 0.3745, 0.0000], [0.3745, 0.8745, 0.0000], [0.6255, 0.1255, 0.0000], [0.8745, 0.6255, 0.0000], [0.1544, 0.6544, 0.5000], [0.3456, 0.1544, 0.5000], [0.6544, 0.8456, 0.5000], [0.8456, 0.3456, 0.5000]],
  "energy_ev_per_atom": -2.206,
  "sg": "P4/mbm (127)",
  "e_above_lowest_polymorph_mev_per_atom": 210,
  "e_form_mev_per_atom": 178
}

***

{
  "formula": "CsCd4Ge2",
  "functional": "PBE",
  "state": "relaxed",
  "lattice": [[2.3538, -8.2221, 0.0000], [2.3538, 8.2221, 0.0000], [0.0000, 0.0000, 4.7269]],
  "species": ["Cs", "Cd", "Cd", "Cd", "Cd", "Ge", "Ge"],
  "frac_coords": [[0.0000, 0.0000, 0.0000], [0.1842, 0.8158, 0.5000], [0.3137, 0.6863, 0.0000], [0.6863, 0.3137, 0.0000], [0.8158, 0.1842, 0.5000], [0.4096, 0.5904, 0.5000], [0.5904, 0.4096, 0.5000]],
  "energy_ev_per_atom": -1.969,
  "sg": "Cmmm (65)",
  "e_form_mev_per_atom": -5
}

***

{
  "formula": "CsCd3Ge",
  "functional": "PBE",
  "state": "relaxed",
  "lattice": [[0.0000, 3.5248, 6.0797], [3.4877, 0.0000, 6.0797], [3.4877, 3.5248, 0.0000]],
  "species": ["Cs", "Cd", "Cd", "Cd", "Ge"],
  "frac_coords": [[0.0000, 0.0000, 0.0000], [0.2619, 0.2619, 0.2381], [0.6121, 0.6121, 0.3879], [0.7619, 0.7619, 0.7381], [0.3753, 0.3753, 0.6247]],
  "energy_ev_per_atom": -1.672,
  "sg": "Fmm2 (42)",
  "e_above_lowest_polymorph_mev_per_atom": 0,
  "e_form_mev_per_atom": -29
}